(1)
A plane-wave DFT calculation with PBE-GGA was carried out for an optimized crystal structure of BaPtBr2.

Computed properties:
- Calculated volume: 108 Å³/cell
- Energy relative to the lowest polymorph listed for this composition: 347.0 meV per atom
- ΔE_f (raw): -0.7016 eV/atom

```
data_BaPtBr2
_space_group_name_H-M_alt 'P 4/m m m'
_space_group_IT_number 123
_space_group_name_Hall '-P 4 2'
_cell_length_a 5.061
_cell_length_b 5.061
_cell_length_c 4.233
_cell_angle_alpha 90.00
_cell_angle_beta 90.00
_cell_angle_gamma 90.00
loop_
_atom_site_label
_atom_site_fract_x
_atom_site_fract_y
_atom_site_fract_z
Ba1 0.000 0.000 0.000
Pt1 0.500 0.500 0.000
Br1 0.000 0.500 0.500
```

***

(2)
A plane-wave DFT calculation with PBE-GGA was carried out for an optimized crystal structure of Ce2ScGa3.

Computed properties:
- Calculated volume: 270 Å³/cell
- Energy relative to the lowest polymorph listed for this composition: 56.6 meV per atom

```
data_Ce2ScGa3
_space_group_name_H-M_alt 'P -3 m 1'
_space_group_IT_number 164
_space_group_name_Hall '-P 3 2"'
_cell_length_a 5.0072
_cell_length_b 5.0072
_cell_length_c 12.4395
_cell_angle_alpha 90.00
_cell_angle_beta 90.00
_cell_angle_gamma 120.00
loop_
_atom_site_label
_atom_site_fract_x
_atom_site_fract_y
_atom_site_fract_z
Ce1 0.0000 0.0000 0.0000
Ce2 0.0000 0.0000 0.5000
Ce3 0.3333 0.6667 0.1772
Sc1 0.3333 0.6667 0.6654
Ga1 0.0000 0.0000 0.2582
Ga2 0.3333 0.6667 0.4202
Ga3 0.3333 0.6667 0.9106
```

***

(3)
A plane-wave DFT calculation with PBE-GGA was carried out for an optimized crystal structure of Tb2ScUN4.

Computed properties:
- Calculated volume: 112 Å³/cell
- ΔE_f (raw): -1.6337 eV/atom

```
data_Tb2ScUN4
_space_group_name_H-M_alt 'P 1 2/m 1'
_space_group_IT_number 10
_cell_length_a 5.838
_cell_length_b 3.419
_cell_length_c 5.905
_cell_angle_alpha 90.00
_cell_angle_beta 108.67
_cell_angle_gamma 90.00
loop_
_space_group_symop_operation_xyz
'x,y,z'
'-x,-y,-z'
'-x,y,-z'
'x,-y,z'
loop_
_atom_site_label
_atom_site_fract_x
_atom_site_fract_y
_atom_site_fract_z
Tb1 0.000 0.000 0.000
Tb2 0.500 0.500 0.000
Sc1 0.000 0.500 0.500
U1 0.500 0.000 0.500
N1 0.251 0.000 0.725
N2 0.254 0.500 0.270
```

***

(4)
A plane-wave DFT calculation with PBE-GGA was carried out for an optimized crystal structure of Tb2HoCo.

Computed properties:
- Calculated volume: 409 Å³/cell
- Energy relative to the lowest polymorph listed for this composition: 0.0 meV per atom

```
data_Tb2HoCo
_space_group_name_H-M_alt 'P n m a'
_space_group_IT_number 62
_cell_length_a 6.952
_cell_length_b 9.492
_cell_length_c 6.201
_cell_angle_alpha 90.00
_cell_angle_beta 90.00
_cell_angle_gamma 90.00
loop_
_space_group_symop_operation_xyz
'x,y,z'
'-x,-y,-z'
'-x+1/2,-y,z+1/2'
'x+1/2,y,-z+1/2'
'x+1/2,-y+1/2,-z+1/2'
'-x+1/2,y+1/2,z+1/2'
'-x,y+1/2,-z'
'x,-y+1/2,z'
loop_
_atom_site_label
_atom_site_fract_x
_atom_site_fract_y
_atom_site_fract_z
Tb1 0.175 0.068 0.177
Ho1 0.043 0.250 0.645
Co1 0.114 0.750 0.951
```

***

(5)
A plane-wave DFT calculation with PBE-GGA was carried out for an optimized crystal structure of TlAsBr2.

Computed properties:
- Calculated volume: 128 Å³/cell
- Energy relative to the lowest polymorph listed for this composition: 287.0 meV per atom
- ΔE_f (raw): 0.0249 eV/atom

```
data_TlAsBr2
_space_group_name_H-M_alt 'P m m m'
_space_group_IT_number 47
_cell_length_a 4.056
_cell_length_b 4.478
_cell_length_c 7.047
_cell_angle_alpha 90.00
_cell_angle_beta 90.00
_cell_angle_gamma 90.00
loop_
_space_group_symop_operation_xyz
'x,y,z'
'-x,-y,-z'
'-x,-y,z'
'x,y,-z'
'x,-y,-z'
'-x,y,z'
'-x,y,-z'
'x,-y,z'
loop_
_atom_site_label
_atom_site_fract_x
_atom_site_fract_y
_atom_site_fract_z
Tl1 0.000 0.000 0.000
As1 0.500 0.000 0.500
Br1 0.000 0.500 0.500
Br2 0.500 0.500 0.000
```

***

(6)
A plane-wave DFT calculation with PBE-GGA was carried out for an optimized crystal structure of YGa3N.

Computed properties:
- Calculated volume: 167 Å³/cell
- Energy relative to the lowest polymorph listed for this composition: 1617.5 meV per atom
- ΔE_f (raw): 1.8311 eV/atom

```
data_YGa3N
_space_group_name_H-M_alt 'P m -3 m'
_space_group_IT_number 221
_space_group_name_Hall '-P 4 2 3'
_cell_length_a 5.504
_cell_length_b 5.504
_cell_length_c 5.504
_cell_angle_alpha 90.00
_cell_angle_beta 90.00
_cell_angle_gamma 90.00
loop_
_atom_site_label
_atom_site_fract_x
_atom_site_fract_y
_atom_site_fract_z
Y1 0.000 0.000 0.000
Ga1 0.000 0.000 0.500
N1 0.500 0.500 0.500
```

***

(7)
A plane-wave DFT calculation with PBE-GGA was carried out for an optimized crystal structure of Nd2GaBPt6.

Computed properties:
- Energy: -6.40 eV/atom
- Calculated volume: 366 Å³/cell

```
data_Nd2GaBPt6
_space_group_name_H-M_alt 'I 4 m m'
_space_group_IT_number 107
_space_group_name_Hall 'I 4 -2'
_cell_length_a 5.855
_cell_length_b 5.855
_cell_length_c 10.668
_cell_angle_alpha 90.00
_cell_angle_beta 90.00
_cell_angle_gamma 90.00
loop_
_atom_site_label
_atom_site_fract_x
_atom_site_fract_y
_atom_site_fract_z
Nd1 0.000 0.500 0.000
Ga1 0.000 0.000 0.144
B1 0.000 0.000 0.643
Pt1 0.000 0.000 0.444
Pt2 0.000 0.000 0.925
Pt3 0.238 0.238 0.748
```

***

(8)
A plane-wave DFT calculation with PBE-GGA was carried out for an optimized crystal structure of AlZnCd2.

Computed properties:
- Calculated volume: 326 Å³/cell
- Energy relative to the lowest polymorph listed for this composition: 143.0 meV per atom

```
data_AlZnCd2
_space_group_name_H-M_alt 'F m -3 m'
_space_group_IT_number 225
_space_group_name_Hall '-F 4 2 3'
_cell_length_a 6.883
_cell_length_b 6.883
_cell_length_c 6.883
_cell_angle_alpha 90.00
_cell_angle_beta 90.00
_cell_angle_gamma 90.00
loop_
_atom_site_label
_atom_site_fract_x
_atom_site_fract_y
_atom_site_fract_z
Al1 0.000 0.000 0.000
Zn1 0.000 0.000 0.500
Cd1 0.250 0.250 0.250
```